Computed, not measured: Th3TeC2 after structural relaxation at the GGA-PBE level of DFT.

Cell: 4.0214 7.1033 12.6479 Å, 100.17 90.00 90.00°
With the nearest neighbours (Å) after each atom.
Positions (direct):
Th 0.2500 0.3772 0.0875  3 C 2.38-2.40
Th 0.7500 0.6228 0.9125  3 C 2.38-2.40
C 0.2500 0.4361 0.9077  4 Th 2.38-2.40
Th 0.7500 0.8069 0.5338  3 C 2.40-2.43
Th 0.2500 0.1571 0.7695  2 C 2.35-2.40
Th 0.7500 0.8429 0.2305  2 C 2.35-2.40
C 0.7500 0.5639 0.0923  4 Th 2.38-2.40
C 0.7500 0.0233 0.4050  4 Th 2.35-2.43
C 0.2500 0.9767 0.5950  4 Th 2.35-2.43
Te 0.7500 0.4336 0.6566  6 Th 3.28-3.36
Th 0.2500 0.1931 0.4662  3 C 2.40-2.43
Te 0.2500 0.5664 0.3434  6 Th 3.28-3.36

Computed properties:
relative energy among the computed polymorphs	189.4	meV/atom
total moment	0.00	μB per cell
total DFT energy (no corrections)	-7.67	eV/atom
V	29.6	Å³ per atom